Material: K2BaRu
Method: DFT, GGA-PBE
State: relaxed

Computed properties:
For the energy of formation, the calculation gives 863 meV per atom. For the energy above the lowest structure with this stoichiometry, the calculation gives 0.230 eV/atom. For the electronic total energy, the calculation gives -2.49 eV per atom.

Cell: 4.926 4.926 6.362 Å, 90.00 90.00 90.00°
Space group P4/mmm (No. 123)
Symmetry-distinct sites (fractional):
K1 0.000 0.500 0.000
Ba1 0.000 0.000 0.500
Ru1 0.500 0.500 0.500